(w)
This record from Alexandria via LeMat-Bulk describes a relaxed structure of RbFeS2Cl. The functional is PBE. Values from VASP.

```
&SYSTEM
  ibrav = 0, nat = 5, ntyp = 4
/
ATOMIC_SPECIES
Rb 85.47 Rb.upf
Fe 55.84 Fe.upf
S 32.06 S.upf
Cl 35.45 Cl.upf
ATOMIC_POSITIONS crystal
Rb 0.000 0.000 0.000
Fe 0.500 0.500 0.500
S 0.000 0.500 0.500
S 0.500 0.000 0.500
Cl 0.500 0.500 0.000
CELL_PARAMETERS angstrom
4.402 0.000 0.000
0.000 4.402 0.000
0.000 0.000 5.684
```

Computed properties:
SG   P4/mmm


(x)
This record from Alexandria via LeMat-Bulk describes a relaxed structure of RbFeS2Cl. The functional is PBE. Values from VASP.

```
&SYSTEM
  ibrav = 0, nat = 5, ntyp = 4
/
ATOMIC_SPECIES
Rb 85.47 Rb.upf
Fe 55.84 Fe.upf
S 32.06 S.upf
Cl 35.45 Cl.upf
ATOMIC_POSITIONS crystal
Rb 0.000 0.000 0.000
Fe 0.500 0.500 0.500
S 0.000 0.500 0.000
S 0.500 0.000 0.000
Cl 0.000 0.000 0.500
CELL_PARAMETERS angstrom
5.422 0.000 0.000
0.000 5.422 0.000
0.000 0.000 5.753
```

Computed properties:
SG   P4/mmm


In kJ/mol of atoms, relative to the most stable structure: (w) 0.0; (x) 167.1.


(w)
This record from Alexandria via LeMat-Bulk describes a relaxed structure of FeReCl2. The functional is PBE. Values from VASP.

```
&SYSTEM
  ibrav = 0, nat = 4, ntyp = 3
/
ATOMIC_SPECIES
Fe 55.84 Fe.upf
Re 186.21 Re.upf
Cl 35.45 Cl.upf
ATOMIC_POSITIONS crystal
Fe 0.000 0.000 0.000
Re 0.389 0.889 0.500
Cl 0.584 0.584 0.000
Cl 0.800 0.300 0.500
CELL_PARAMETERS angstrom
-1.491 1.505 8.672
1.491 -1.505 8.672
1.491 1.505 -8.672
```

Computed properties:
SG   Imm2


(x)
This record from Alexandria via LeMat-Bulk describes a relaxed structure of FeReCl2. The functional is PBE. Values from VASP.

```
&SYSTEM
  ibrav = 0, nat = 4, ntyp = 3
/
ATOMIC_SPECIES
Fe 55.84 Fe.upf
Re 186.21 Re.upf
Cl 35.45 Cl.upf
ATOMIC_POSITIONS crystal
Fe 0.000 0.000 0.000
Re 0.750 0.750 0.750
Cl 0.250 0.250 0.250
Cl 0.500 0.500 0.500
CELL_PARAMETERS angstrom
0.000 3.208 3.208
3.208 0.000 3.208
3.208 3.208 0.000
```

Computed properties:
SG   F-43m


In kJ/mol of atoms, relative to the most stable structure: (w) 0.0; (x) 84.7.


(w)
This record from Alexandria via LeMat-Bulk describes a relaxed structure of FeReCl2. The functional is PBE. Values from VASP.

```
&SYSTEM
  ibrav = 0, nat = 4, ntyp = 3
/
ATOMIC_SPECIES
Fe 55.84 Fe.upf
Re 186.21 Re.upf
Cl 35.45 Cl.upf
ATOMIC_POSITIONS crystal
Fe 0.000 0.000 0.000
Re 0.736 0.736 0.736
Cl 0.274 0.274 0.274
Cl 0.470 0.470 0.470
CELL_PARAMETERS angstrom
1.530 0.883 9.092
-1.530 0.883 9.092
0.000 -1.766 9.092
```

Computed properties:
SG   R3m


(x)
This record from Alexandria via LeMat-Bulk describes a relaxed structure of FeReCl2. The functional is PBE. Values from VASP.

```
&SYSTEM
  ibrav = 0, nat = 8, ntyp = 3
/
ATOMIC_SPECIES
Fe 55.84 Fe.upf
Re 186.21 Re.upf
Cl 35.45 Cl.upf
ATOMIC_POSITIONS crystal
Fe 0.000 0.000 0.000
Fe 0.750 0.250 0.500
Re 0.250 0.750 0.500
Re 0.500 0.500 0.000
Cl 0.110 0.625 0.985
Cl 0.375 0.360 0.485
Cl 0.640 0.125 0.015
Cl 0.875 0.890 0.515
CELL_PARAMETERS angstrom
-2.633 2.633 5.166
2.633 -2.633 5.166
2.633 2.633 -5.166
```

Computed properties:
SG   I-42d


In kJ/mol of atoms, relative to the most stable structure: (w) 0.0; (x) 93.1.